(1)
! La10Pm4Tm (PBE, optimized geometry); values from VASP
&SYSTEM
  ibrav = 0, nat = 15, ntyp = 3
/
ATOMIC_SPECIES
La 138.91 La.upf
Pm 145.00 Pm.upf
Tm 168.93 Tm.upf
ATOMIC_POSITIONS crystal
La 0.1377 0.0896 0.3160
Pm 0.9469 0.3789 0.7273
La 0.5462 0.3160 0.9104
Pm 0.6742 0.2727 0.3789
Pm 0.0531 0.6211 0.2727
La 0.4566 0.0896 0.3160
La 0.2500 0.5000 0.5000
Pm 0.3258 0.7273 0.6211
La 0.7500 0.5000 0.5000
La 0.2274 0.3160 0.9104
La 0.7726 0.6840 0.0896
La 0.8623 0.9104 0.6840
La 0.5434 0.9104 0.6840
La 0.4538 0.6840 0.0896
Tm 0.0000 0.0000 0.0000
CELL_PARAMETERS angstrom
9.5928 0.0000 4.3316
4.7964 7.1106 2.1658
1.8702 0.0000 8.6464
! Crystal system = tetragonal
! ΔE_f = 0.2606 eV/atom
! Electronic total energy = -68.8 eV for the cell shown

(2)
! La3Pm7Tm2 (PBE, optimized geometry); values from VASP
&SYSTEM
  ibrav = 0, nat = 12, ntyp = 3
/
ATOMIC_SPECIES
La 138.91 La.upf
Tm 168.93 Tm.upf
Pm 145.00 Pm.upf
ATOMIC_POSITIONS crystal
La 0.0000 0.0000 0.0000
Tm 0.3336 0.3336 0.9991
Pm 0.5842 0.0805 0.7512
La 0.8461 0.8461 0.4616
Pm 0.5842 0.5842 0.7512
Pm 0.5000 0.5000 0.5000
La 0.1539 0.1539 0.5384
Pm 0.9195 0.4158 0.2488
Tm 0.6664 0.6664 0.0009
Pm 0.0805 0.5842 0.7512
Pm 0.4158 0.9195 0.2488
Pm 0.4158 0.4158 0.2488
CELL_PARAMETERS angstrom
-2.2089 1.0070 -6.1879
-5.1931 -3.4662 -2.2805
-9.5603 7.2747 1.0264
! Crystal system = trigonal
! ΔE_f = 0.2572 eV/atom
! Electronic total energy = -53.9 eV for the cell shown